1.
Compound: MnAlCr2
Source: the Alexandria database
Functional: PBE
Structure: optimized geometry

Results
Space-group type = Immm, No. 71
Energy relative to the elements = -129 meV/atom

a = 4.7801 Å, b = 4.7801 Å, c = 4.7801 Å
α = 144.90°, β = 130.12°, γ = 62.44°
Last column: nearest neighbours and their distance in Å.
Fractional positions:
Al1 0.7500 0.2500 0.5000  4 Mn 2.48, 4 Cr 2.58
Cr1 0.4876 0.4876 0.0000  2 Mn 2.42, 4 Cr 2.49, 2 Al 2.58
Cr2 0.0124 0.0124 0.0000  2 Mn 2.42, 4 Cr 2.49, 2 Al 2.58
Mn1 0.2500 0.7500 0.5000  4 Cr 2.42, 4 Al 2.48

=====

2.
Compound: Mn3AlCr2
Source: the Alexandria database
Functional: PBE
Structure: optimized geometry

Results
Space-group type = P4/mmm, No. 123
Energy relative to the elements = -123 meV/atom

a = 2.8332 Å, b = 2.8332 Å, c = 8.5873 Å
α = 90.00°, β = 90.00°, γ = 90.00°
Last column: nearest neighbours and their distance in Å.
Fractional positions:
Al1 0.5000 0.5000 0.5000  8 Mn 2.55, 4 Al 2.83, 2 Cr 2.85
Mn1 0.0000 0.0000 0.0000  8 Cr 2.47, 2 Mn 2.72
Mn2 0.0000 0.0000 0.6834  4 Cr 2.37, 4 Al 2.55
Mn3 0.0000 0.0000 0.3166  4 Cr 2.37, 4 Al 2.55
Cr1 0.5000 0.5000 0.1684  8 Mn 2.37-2.47
Cr2 0.5000 0.5000 0.8316  8 Mn 2.37-2.47

=====

3.
Compound: MnAlCr2
Source: the Alexandria database
Functional: PBE
Structure: optimized geometry

Results
Space-group type = Cmmm, No. 65
Energy relative to the elements = 51 meV/atom

a = 2.5290 Å, b = 2.5290 Å, c = 8.0310 Å
α = 90.00°, β = 90.00°, γ = 108.55°
Last column: nearest neighbours and their distance in Å.
Fractional positions:
Cr1 0.0000 0.0000 0.0114  2 Mn 2.42, 4 Cr 2.53, 2 Al 2.57
Cr2 0.0000 0.0000 0.4886  2 Mn 2.42, 4 Cr 2.53, 2 Al 2.57
Al1 0.5000 0.5000 0.7500  4 Al 2.53, 4 Cr 2.57
Mn1 0.5000 0.5000 0.2500  4 Cr 2.42, 4 Mn 2.53

=====

4.
Compound: Mn6Al5Cr
Source: the Alexandria database
Functional: PBE
Structure: optimized geometry

Results
Space-group type = Cmmm, No. 65
Energy relative to the elements = -203 meV/atom

a = 3.8877 Å, b = 6.9161 Å, c = 6.1332 Å
α = 90.00°, β = 71.52°, γ = 90.00°
Last column: nearest neighbours and their distance in Å.
Fractional positions:
Al1 0.0000 0.5000 0.0000  8 Mn 2.61-2.62, 4 Al 2.74
Al2 0.3339 0.5000 0.3323  8 Mn 2.61-2.64, 4 Al 2.74-2.75
Al3 0.6661 0.5000 0.6677  8 Mn 2.61-2.64, 4 Al 2.74-2.75
Al4 0.6644 0.0000 0.6713  8 Mn 2.56-2.61, 2 Cr 2.73, 2 Al 2.78
Al5 0.3356 0.0000 0.3287  8 Mn 2.56-2.61, 2 Cr 2.73, 2 Al 2.78
Mn1 0.5000 0.7534 0.0000  6 Al 2.56-2.62, 2 Cr 2.59, 4 Mn 2.74
Mn2 0.5000 0.2466 0.0000  6 Al 2.56-2.62, 2 Cr 2.59, 4 Mn 2.74
Mn3 0.1655 0.7550 0.6689  1 Cr 2.57, 7 Al 2.58-2.64, 4 Mn 2.74-2.76
Mn4 0.8345 0.7550 0.3311  1 Cr 2.57, 7 Al 2.58-2.64, 4 Mn 2.74-2.76
Mn5 0.8345 0.2450 0.3311  1 Cr 2.57, 7 Al 2.58-2.64, 4 Mn 2.74-2.76
Mn6 0.1655 0.2450 0.6689  1 Cr 2.57, 7 Al 2.58-2.64, 4 Mn 2.74-2.76
Cr1 0.0000 0.0000 0.0000  8 Mn 2.57-2.59, 4 Al 2.73

=====

5.
Compound: MnAlCr2
Source: the Alexandria database
Functional: PBE
Structure: optimized geometry

Results
Space-group type = R3m, No. 160
Energy relative to the elements = 173 meV/atom

a = 8.3706 Å, b = 8.3706 Å, c = 8.3706 Å
α = 18.03°, β = 18.03°, γ = 18.03°
Last column: nearest neighbours and their distance in Å.
Fractional positions:
Cr1 0.9969 0.9969 0.9969  9 Cr 2.57-2.62, 3 Al 2.66
Cr2 0.2462 0.2462 0.2462  3 Mn 2.39, 9 Cr 2.57-2.62
Mn1 0.5046 0.5046 0.5046  3 Cr 2.39, 3 Al 2.60, 6 Mn 2.62
Al1 0.7523 0.7523 0.7523  3 Mn 2.60, 6 Al 2.62, 3 Cr 2.66

=====

6.
Compound: MnAlCr3
Source: the Alexandria database
Functional: PBE
Structure: optimized geometry

Results
Space-group type = Pm-3m, No. 221
Energy relative to the elements = 933 meV/atom
Relative energy among the computed polymorphs = 820 meV/atom

a = 4.2372 Å, b = 4.2372 Å, c = 4.2372 Å
α = 90.00°, β = 90.00°, γ = 90.00°
Last column: nearest neighbours and their distance in Å.
Fractional positions:
Cr1 0.0000 0.5000 0.0000  2 Mn 2.12
Cr2 0.0000 0.0000 0.5000  2 Mn 2.12
Cr3 0.5000 0.0000 0.0000  2 Mn 2.12
Mn1 0.0000 0.0000 0.0000  6 Cr 2.12
Al1 0.5000 0.5000 0.5000  12 Cr 3.00

=====

7.
Compound: MnAlCr
Source: the Alexandria database
Functional: PBE
Structure: optimized geometry

Results
Space-group type = F-43m, No. 216
Energy relative to the elements = 361 meV/atom
Relative energy among the computed polymorphs = 583 meV/atom

a = 4.0305 Å, b = 4.0305 Å, c = 4.0305 Å
α = 60.00°, β = 60.00°, γ = 60.00°
Last column: nearest neighbours and their distance in Å.
Fractional positions:
Cr1 0.5000 0.5000 0.5000  4 Mn 2.47
Al1 0.0000 0.0000 0.0000  4 Mn 2.47
Mn1 0.7500 0.7500 0.7500  4 Al 2.47, 4 Cr 2.47

=====

8.
Compound: MnAlCr2
Source: the Alexandria database
Functional: PBE
Structure: optimized geometry

Results
Space-group type = P4mm, No. 99
Energy relative to the elements = -96 meV/atom

a = 2.9097 Å, b = 2.9097 Å, c = 5.8192 Å
α = 90.00°, β = 90.00°, γ = 90.00°
Last column: nearest neighbours and their distance in Å.
Fractional positions:
Al1 0.5000 0.5000 0.7452  4 Mn 2.55, 4 Cr 2.60
Cr1 0.5000 0.5000 0.2486  4 Cr 2.45, 4 Mn 2.48
Cr2 0.0000 0.0000 0.0190  4 Cr 2.45, 4 Al 2.60, 1 Mn 2.72
Mn1 0.0000 0.0000 0.4872  5 Cr 2.48-2.72, 4 Al 2.55

=====

9.
Compound: MnAlCr3
Source: the Alexandria database
Functional: PBE
Structure: optimized geometry

Results
Space-group type = Pm-3m, No. 221
Energy relative to the elements = 1866 meV/atom
Relative energy among the computed polymorphs = 1754 meV/atom

a = 4.2484 Å, b = 4.2484 Å, c = 4.2484 Å
α = 90.00°, β = 90.00°, γ = 90.00°
Last column: nearest neighbours and their distance in Å.
Fractional positions:
Cr1 0.0000 0.0000 0.5000  2 Al 2.12
Cr2 0.0000 0.5000 0.0000  2 Al 2.12
Cr3 0.5000 0.0000 0.0000  2 Al 2.12
Mn1 0.5000 0.5000 0.5000  12 Cr 3.00
Al1 0.0000 0.0000 0.0000  6 Cr 2.12

=====

10.
Compound: MnAlCr2
Source: the Alexandria database
Functional: PBE
Structure: optimized geometry

Results
Space-group type = Imm2, No. 44
Energy relative to the elements = -76 meV/atom

a = 4.7220 Å, b = 4.7220 Å, c = 4.1192 Å
α = 64.15°, β = 64.15°, γ = 35.76°
Last column: nearest neighbours and their distance in Å.
Fractional positions:
Mn1 0.4873 0.4873 0.5126  6 Cr 2.39-2.53, 2 Al 2.54
Cr1 0.0157 0.0157 0.9843  2 Cr 2.36, 4 Mn 2.53, 2 Al 2.58
Cr2 0.7488 0.7488 0.7513  2 Cr 2.36, 2 Mn 2.39, 4 Al 2.52
Al1 0.2482 0.2482 0.2518  8 Cr 2.52-2.77, 4 Mn 2.54-2.81

=====

11.
Compound: Mn2AlCr2
Source: the Alexandria database
Functional: PBE
Structure: optimized geometry

Results
Space-group type = I4/mmm, No. 139
Energy relative to the elements = 352 meV/atom
Relative energy among the computed polymorphs = 386 meV/atom

a = 3.8090 Å, b = 3.8090 Å, c = 5.3404 Å
α = 69.11°, β = 69.11°, γ = 90.00°
Last column: nearest neighbours and their distance in Å.
Fractional positions:
Mn1 0.2500 0.7500 0.5000  4 Cr 2.25
Mn2 0.7500 0.2500 0.5000  4 Cr 2.25
Cr1 0.6205 0.6205 0.7591  1 Cr 2.22, 4 Mn 2.25
Cr2 0.3795 0.3795 0.2409  1 Cr 2.22, 4 Mn 2.25
Al1 0.0000 0.0000 0.0000  8 Cr 2.91, 8 Mn 2.99

=====

12.
Compound: MnAlCr2
Source: the Alexandria database
Functional: PBE
Structure: optimized geometry

Results
Space-group type = Pm, No. 6
Energy relative to the elements = -28 meV/atom

a = 4.0100 Å, b = 2.5121 Å, c = 4.8188 Å
α = 79.39°, β = 90.00°, γ = 90.00°
Last column: nearest neighbours and their distance in Å.
Fractional positions:
Al1 0.5000 0.7419 0.7483  2 Mn 2.50, 6 Cr 2.50-2.77, 2 Al 2.51
Cr1 0.0000 0.0518 0.9971  2 Mn 2.41-2.62, 4 Cr 2.45-2.51, 2 Al 2.53
Cr2 0.5000 0.2499 0.2506  4 Cr 2.45-2.51, 2 Mn 2.45, 2 Al 2.50-2.51
Mn1 0.0000 0.4564 0.5040  4 Cr 2.41-2.62, 2 Al 2.50, 2 Mn 2.51

=====

Number 1: ρ 6.50 Mg/m³. Number 2: ρ 7.13 Mg/m³. Number 3: ρ 6.34 Mg/m³. Number 4: ρ 5.48 Mg/m³. Number 5: ρ 6.29 Mg/m³. Number 6: ρ 5.19 Mg/m³. Number 7: ρ 4.80 Mg/m³. Number 8: ρ 6.27 Mg/m³. Number 9: ρ 5.15 Mg/m³. Number 10: ρ 6.47 Mg/m³. Number 11: ρ 5.98 Mg/m³. Number 12: ρ 6.47 Mg/m³.